1.
# ReBi3Se (GGA-PBE, optimized geometry)
data_ReBi3Se
_cell_length_a 5.464
_cell_length_b 5.464
_cell_length_c 5.464
_cell_angle_alpha 90.00
_cell_angle_beta 90.00
_cell_angle_gamma 90.00
_symmetry_space_group_name_H-M 'P m -3 m'
_symmetry_Int_Tables_number 221
_symmetry_space_group_name_Hall '-P 4 2 3'
loop_
_atom_site_label
_atom_site_fract_x
_atom_site_fract_y
_atom_site_fract_z
Re1 0.000 0.000 0.000
Bi1 0.000 0.500 0.500
Se1 0.500 0.500 0.500
# Spin magnetization   3.19 μB/cell
# Energy relative to the lowest polymorph listed for this composition   20.45 kcal/mol of atoms
# Formation energy without anion corrections   1532.8 meV per atom
# Volume   163.2 Å³/cell

2.
# ReBi3Se (GGA-PBE, optimized geometry)
data_ReBi3Se
_cell_length_a 5.311
_cell_length_b 5.311
_cell_length_c 5.311
_cell_angle_alpha 90.00
_cell_angle_beta 90.00
_cell_angle_gamma 90.00
_symmetry_space_group_name_H-M 'P m -3 m'
_symmetry_Int_Tables_number 221
_symmetry_space_group_name_Hall '-P 4 2 3'
loop_
_atom_site_label
_atom_site_fract_x
_atom_site_fract_y
_atom_site_fract_z
Re1 0.000 0.000 0.000
Bi1 0.000 0.000 0.500
Se1 0.500 0.500 0.500
# Spin magnetization   0.00 μB/cell
# Energy relative to the lowest polymorph listed for this composition   0.00 kcal/mol of atoms
# Formation energy without anion corrections   646.1 meV per atom
# Volume   149.8 Å³/cell

3.
# Re2BiSe (GGA-PBE, optimized geometry)
data_Re2BiSe
_cell_length_a 6.557
_cell_length_b 6.557
_cell_length_c 6.557
_cell_angle_alpha 90.00
_cell_angle_beta 90.00
_cell_angle_gamma 90.00
_symmetry_space_group_name_H-M 'F m -3 m'
_symmetry_Int_Tables_number 225
_symmetry_space_group_name_Hall '-F 4 2 3'
loop_
_atom_site_label
_atom_site_fract_x
_atom_site_fract_y
_atom_site_fract_z
Re1 0.250 0.250 0.250
Bi1 0.000 0.000 0.000
Se1 0.000 0.000 0.500
# Spin magnetization   0.00 μB/cell
# Energy relative to the lowest polymorph listed for this composition   0.00 kcal/mol of atoms
# Formation energy without anion corrections   1052.4 meV per atom
# Volume   281.9 Å³/cell

4.
# ReBi2Se (GGA-PBE, optimized geometry)
data_ReBi2Se
_cell_length_a 6.531
_cell_length_b 6.531
_cell_length_c 12.605
_cell_angle_alpha 90.00
_cell_angle_beta 90.00
_cell_angle_gamma 90.00
_symmetry_space_group_name_H-M 'I -4 2 d'
_symmetry_Int_Tables_number 122
_symmetry_space_group_name_Hall 'I -4 2bw'
loop_
_atom_site_label
_atom_site_fract_x
_atom_site_fract_y
_atom_site_fract_z
Re1 0.000 0.000 0.000
Bi1 0.208 0.250 0.125
Se1 0.000 0.000 0.500
# Spin magnetization   2.83 μB/cell
# Formation energy without anion corrections   889.4 meV per atom
# Volume   537.7 Å³/cell

5.
# ReBiSe2 (GGA-PBE, optimized geometry)
data_ReBiSe2
_cell_length_a 6.706
_cell_length_b 6.706
_cell_length_c 9.876
_cell_angle_alpha 90.00
_cell_angle_beta 90.00
_cell_angle_gamma 90.00
_symmetry_space_group_name_H-M 'I -4 2 d'
_symmetry_Int_Tables_number 122
_symmetry_space_group_name_Hall 'I -4 2bw'
loop_
_atom_site_label
_atom_site_fract_x
_atom_site_fract_y
_atom_site_fract_z
Re1 0.000 0.000 0.000
Bi1 0.000 0.000 0.500
Se1 0.174 0.250 0.125
# Spin magnetization   0.00 μB/cell
# Formation energy without anion corrections   444.1 meV per atom
# Volume   444.1 Å³/cell

6.
# ReBiSe2 (GGA-PBE, optimized geometry)
data_ReBiSe2
_cell_length_a 3.4148
_cell_length_b 3.4148
_cell_length_c 28.5437
_cell_angle_alpha 90.00
_cell_angle_beta 90.00
_cell_angle_gamma 120.00
_symmetry_space_group_name_H-M 'R -3 m'
_symmetry_Int_Tables_number 166
_symmetry_space_group_name_Hall '-R 3 2"'
loop_
_atom_site_label
_atom_site_fract_x
_atom_site_fract_y
_atom_site_fract_z
Re1 0.0000 0.0000 0.0000
Bi1 0.0000 0.0000 0.5000
Se1 0.0000 0.0000 0.3900
# Spin magnetization   0.00 μB/cell
# Formation energy without anion corrections   98.8 meV per atom
# Volume   288.3 Å³/cell

7.
# Sr2ReBiSe (GGA-PBE, optimized geometry)
data_Sr2ReBiSe
_cell_length_a 5.755
_cell_length_b 5.755
_cell_length_c 5.634
_cell_angle_alpha 90.00
_cell_angle_beta 90.00
_cell_angle_gamma 90.00
_symmetry_space_group_name_H-M 'P 4/m m m'
_symmetry_Int_Tables_number 123
_symmetry_space_group_name_Hall '-P 4 2'
loop_
_atom_site_label
_atom_site_fract_x
_atom_site_fract_y
_atom_site_fract_z
Sr1 0.000 0.500 0.000
Re1 0.000 0.000 0.500
Bi1 0.500 0.500 0.500
Se1 0.500 0.500 0.000
# Spin magnetization   4.20 μB/cell
# Formation energy without anion corrections   600.9 meV per atom
# Volume   186.6 Å³/cell

8.
# Re2TcBiSe (GGA-PBE, optimized geometry)
data_Re2TcBiSe
_cell_length_a 4.824
_cell_length_b 4.824
_cell_length_c 4.723
_cell_angle_alpha 90.00
_cell_angle_beta 90.00
_cell_angle_gamma 90.00
_symmetry_space_group_name_H-M 'P 4/m m m'
_symmetry_Int_Tables_number 123
_symmetry_space_group_name_Hall '-P 4 2'
loop_
_atom_site_label
_atom_site_fract_x
_atom_site_fract_y
_atom_site_fract_z
Re1 0.000 0.500 0.000
Tc1 0.000 0.000 0.000
Bi1 0.500 0.500 0.500
Se1 0.000 0.000 0.500
# Spin magnetization   1.29 μB/cell
# Formation energy without anion corrections   1556.1 meV per atom
# Volume   109.9 Å³/cell